Record 1
The following is a PBE calculation of a relaxed Y8SiSe6 crystal, from Alexandria.

Geometry as POSCAR:
```
Y8SiSe6
1.0
10.426 0.000 0.000
-5.213 9.030 0.000
0.000 0.000 4.055
Y Si Se
8 1 6
Direct
0.030 0.301 0.244 Y
0.271 0.970 0.244 Y
0.301 0.271 0.756 Y
0.333 0.667 0.753 Y
0.667 0.333 0.247 Y
0.699 0.729 0.244 Y
0.729 0.030 0.756 Y
0.970 0.699 0.756 Y
0.000 0.000 0.000 Si
0.129 0.651 0.251 Se
0.349 0.478 0.251 Se
0.478 0.129 0.749 Se
0.522 0.871 0.251 Se
0.651 0.522 0.749 Se
0.871 0.349 0.749 Se
```

## Properties
**Raw formation energy**: -1.2924 eV/atom

---

Record 2
The following is a PBE calculation of a relaxed YSiSe3 crystal, from Alexandria.

Geometry as POSCAR:
```
YSiSe3
1.0
5.421 0.000 0.000
0.000 5.421 0.000
0.000 0.000 5.421
Y Si Se
1 1 3
Direct
0.000 0.000 0.000 Y
0.500 0.500 0.500 Si
0.000 0.000 0.500 Se
0.000 0.500 0.000 Se
0.500 0.000 0.000 Se
```

## Properties
**Raw formation energy**: 0.0031 eV/atom

---

Record 3
The following is a PBE calculation of a relaxed Y3Si5Se12 crystal, from Alexandria.

Geometry as POSCAR:
```
Y3Si5Se12
1.0
-7.890 7.890 7.890
7.890 -7.890 7.890
7.890 7.890 -7.890
Y Si Se
12 20 48
Direct
0.125 0.250 0.375 Y
0.125 0.375 0.750 Y
0.250 0.375 0.125 Y
0.250 0.875 0.625 Y
0.375 0.125 0.250 Y
0.375 0.750 0.125 Y
0.625 0.250 0.875 Y
0.625 0.875 0.750 Y
0.750 0.125 0.375 Y
0.750 0.625 0.875 Y
0.875 0.625 0.250 Y
0.875 0.750 0.625 Y
0.000 0.000 0.000 Si
0.000 0.000 0.500 Si
0.000 0.500 0.000 Si
0.000 0.500 0.500 Si
0.125 0.750 0.875 Si
0.125 0.875 0.250 Si
0.250 0.125 0.875 Si
0.250 0.625 0.375 Si
0.375 0.250 0.625 Si
0.375 0.625 0.750 Si
0.500 0.000 0.000 Si
0.500 0.000 0.500 Si
0.500 0.500 0.000 Si
0.500 0.500 0.500 Si
0.625 0.375 0.250 Si
0.625 0.750 0.375 Si
0.750 0.375 0.625 Si
0.750 0.875 0.125 Si
0.875 0.125 0.750 Si
0.875 0.250 0.125 Si
0.031 0.214 0.126 Se
0.031 0.318 0.906 Se
0.088 0.714 0.682 Se
0.088 0.874 0.406 Se
0.094 0.626 0.412 Se
0.094 0.969 0.682 Se
0.126 0.031 0.214 Se
0.126 0.594 0.912 Se
0.182 0.214 0.588 Se
0.182 0.469 0.594 Se
0.214 0.126 0.031 Se
0.214 0.588 0.182 Se
0.286 0.318 0.912 Se
0.286 0.469 0.374 Se
0.318 0.906 0.031 Se
0.318 0.912 0.286 Se
0.374 0.286 0.469 Se
0.374 0.588 0.906 Se
0.406 0.088 0.874 Se
0.406 0.818 0.531 Se
0.412 0.094 0.626 Se
0.412 0.818 0.786 Se
0.469 0.374 0.286 Se
0.469 0.594 0.182 Se
0.531 0.406 0.818 Se
0.531 0.626 0.714 Se
0.588 0.182 0.214 Se
0.588 0.906 0.374 Se
0.594 0.182 0.469 Se
0.594 0.912 0.126 Se
0.626 0.412 0.094 Se
0.626 0.714 0.531 Se
0.682 0.088 0.714 Se
0.682 0.094 0.969 Se
0.714 0.531 0.626 Se
0.714 0.682 0.088 Se
0.786 0.412 0.818 Se
0.786 0.874 0.969 Se
0.818 0.531 0.406 Se
0.818 0.786 0.412 Se
0.874 0.406 0.088 Se
0.874 0.969 0.786 Se
0.906 0.031 0.318 Se
0.906 0.374 0.588 Se
0.912 0.126 0.594 Se
0.912 0.286 0.318 Se
0.969 0.682 0.094 Se
0.969 0.786 0.874 Se
```

## Properties
**Raw formation energy**: -0.7779 eV/atom

---

Record 4
The following is a PBE calculation of a relaxed Y5Si2Se2 crystal, from Alexandria.

Geometry as POSCAR:
```
Y5Si2Se2
1.0
7.313 -3.784 0.000
7.313 3.784 0.000
0.000 0.000 7.630
Y Si Se
10 4 4
Direct
0.000 0.000 0.000 Y
0.035 0.699 0.666 Y
0.199 0.535 0.166 Y
0.301 0.965 0.666 Y
0.465 0.801 0.166 Y
0.500 0.500 0.500 Y
0.535 0.199 0.834 Y
0.699 0.035 0.334 Y
0.801 0.465 0.834 Y
0.965 0.301 0.334 Y
0.127 0.873 0.374 Si
0.373 0.627 0.874 Si
0.627 0.373 0.126 Si
0.873 0.127 0.626 Si
0.201 0.201 0.000 Se
0.299 0.299 0.500 Se
0.701 0.701 0.500 Se
0.799 0.799 0.000 Se
```

## Properties
**Raw formation energy**: -1.1770 eV/atom

---

Record 5
The following is a PBE calculation of a relaxed Y2Si2Se crystal, from Alexandria.

Geometry as POSCAR:
```
Y2Si2Se
1.0
-1.838 1.838 7.972
1.838 -1.838 7.972
1.838 1.838 -7.972
Y Si Se
2 2 1
Direct
0.108 0.108 0.000 Y
0.892 0.892 0.000 Y
0.250 0.750 0.500 Si
0.750 0.250 0.500 Si
0.500 0.500 0.000 Se
```

## Properties
**Raw formation energy**: -0.9223 eV/atom

---

Record 6
The following is a PBE calculation of a relaxed YSiSe3 crystal, from Alexandria.

Geometry as POSCAR:
```
YSiSe3
1.0
7.838 0.000 0.000
0.000 6.604 0.000
0.000 0.000 9.135
Y Si Se
4 4 12
Direct
0.114 0.030 0.000 Y
0.386 0.530 0.500 Y
0.614 0.470 0.000 Y
0.886 0.970 0.500 Y
0.066 0.524 0.231 Si
0.434 0.024 0.731 Si
0.566 0.976 0.231 Si
0.934 0.476 0.731 Si
0.035 0.382 0.486 Se
0.171 0.840 0.306 Se
0.180 0.837 0.690 Se
0.320 0.337 0.190 Se
0.329 0.340 0.806 Se
0.465 0.882 0.986 Se
0.535 0.118 0.486 Se
0.671 0.660 0.306 Se
0.680 0.663 0.690 Se
0.820 0.163 0.190 Se
0.829 0.160 0.806 Se
0.965 0.618 0.986 Se
```

## Properties
**Raw formation energy**: -0.9546 eV/atom

---

Record 7
The following is a PBE calculation of a relaxed YSiSe crystal, from Alexandria.

Geometry as POSCAR:
```
YSiSe
1.0
0.000 3.318 3.318
3.318 0.000 3.318
3.318 3.318 0.000
Y Si Se
1 1 1
Direct
0.000 0.000 0.000 Y
0.500 0.500 0.500 Si
0.250 0.250 0.250 Se
```

## Properties
**Raw formation energy**: -0.3248 eV/atom

---

Record 8
The following is a PBE calculation of a relaxed YSiSe crystal, from Alexandria.

Geometry as POSCAR:
```
YSiSe
1.0
3.681 0.000 0.000
-1.841 3.188 0.000
0.000 0.000 6.048
Y Si Se
1 1 1
Direct
0.000 0.000 0.000 Y
0.667 0.333 0.647 Si
0.333 0.667 0.314 Se
```

## Properties
**Raw formation energy**: -0.3236 eV/atom

---

Record 9
The following is a PBE calculation of a relaxed YSi4Se crystal, from Alexandria.

Geometry as POSCAR:
```
YSi4Se
1.0
0.000 3.725 3.725
3.725 0.000 3.725
3.725 3.725 0.000
Y Si Se
1 4 1
Direct
0.000 0.000 0.000 Y
0.376 0.376 0.376 Si
0.376 0.376 0.871 Si
0.376 0.871 0.376 Si
0.871 0.376 0.376 Si
0.750 0.750 0.750 Se
```

## Properties
**Raw formation energy**: -0.1387 eV/atom

---

Record 10
The following is a PBE calculation of a relaxed Zn2SiSe crystal, from Alexandria.

Geometry as POSCAR:
```
Zn2SiSe
1.0
3.292 0.000 0.000
0.000 3.292 0.000
0.000 0.000 6.786
Zn Si Se
2 1 1
Direct
0.000 0.000 0.000 Zn
0.500 0.500 0.201 Zn
0.500 0.500 0.725 Si
0.000 0.000 0.549 Se
```

## Properties
**Raw formation energy**: 0.2537 eV/atom

---

Number 1: magnetization 0.00 μB/f.u., raw total energy -6.495 eV/atom. Number 2: magnetization 0.00 μB/f.u., raw total energy -4.465 eV/atom. Number 3: magnetization 0.00 μB/f.u., raw total energy -5.194 eV/atom. Number 4: magnetization 0.00 μB/f.u., raw total energy -6.748 eV/atom. Number 5: magnetization 0.00 μB/f.u., raw total energy -6.374 eV/atom. Number 6: magnetization 0.00 μB/f.u., raw total energy -5.423 eV/atom. Number 7: magnetization 0.00 μB/f.u., raw total energy -5.449 eV/atom. Number 8: magnetization 0.00 μB/f.u., raw total energy -5.447 eV/atom. Number 9: magnetization 0.00 μB/f.u., raw total energy -5.412 eV/atom. Number 10: magnetization 0.00 μB/f.u., raw total energy -2.610 eV/atom.